[1]
4
Lattice="3.1576 0.0000 0.0000 0.0000 3.3572 0.0208 0.0000 -0.0650 7.5793" Properties=species:S:1:pos:R:3 comment="Sc2MoCl (GGA-PBEsol, relaxed)" spacegroup="P2/m (10)" dos_ef_per_ev_cell=3.4 dft_energy_ev_per_atom=-7.283 de_polymorph_mev_per_atom=0.0 pbc="T T T"
Cl 1.5788 -0.0325 3.7897
Sc 0.0000 -0.0118 1.6163
Sc 0.0000 3.3041 5.9838
Mo 1.5788 1.6786 0.0104



[2]
5
Lattice="4.3726 0.0000 0.0000 0.0000 4.7302 0.0000 0.0000 0.0000 4.7302" Properties=species:S:1:pos:R:3 comment="NiTeOs2W (GGA-PBEsol, relaxed)" spacegroup="P4/mmm (123)" dos_ef_per_ev_cell=6.9 dft_energy_ev_per_atom=-7.080 pbc="T T T"
Os 0.0000 2.3651 0.0000
Te 0.0000 0.0000 0.0000
Os 0.0000 0.0000 2.3651
W 2.1863 2.3651 2.3651
Ni 2.1863 0.0000 0.0000



[3]
4
Lattice="-0.8784 -2.0209 1.7142 3.9936 -0.0868 1.9440 -1.3828 3.1291 2.9803" Properties=species:S:1:pos:R:3 comment="ZnIrOs2 (GGA-PBEsol, relaxed)" ef_ev_per_fu=1.7 spacegroup="Pmmm (47)" dos_ef_per_ev_cell=4.9 dft_energy_ev_per_atom=-8.539 pbc="T T T"
Zn -1.1306 0.5541 2.3473
Os 0.0000 0.0000 0.0000
Os 1.5576 -1.0538 1.8291
Ir 1.3054 1.5211 2.4621



[4]
5
Lattice="4.8353 0.0000 0.0000 0.0000 4.8353 0.0000 0.0000 0.0000 4.8353" Properties=species:S:1:pos:R:3 comment="CaAgMo3 (GGA-PBEsol, relaxed)" ef_ev_per_fu=10.9 spacegroup="Pm-3m (221)" dos_ef_per_ev_cell=7.4 dft_energy_ev_per_atom=-5.966 pbc="T T T"
Mo 2.4176 0.0000 0.0000
Ag 0.0000 0.0000 0.0000
Mo 0.0000 0.0000 2.4176
Ca 2.4176 2.4176 2.4176
Mo 0.0000 2.4176 0.0000



[5]
36
Lattice="3.6458 0.0000 0.0000 0.0000 9.2106 0.0000 0.0000 0.0000 11.2898" Properties=species:S:1:pos:R:3 comment="U2B6W (GGA-PBEsol, relaxed)" ef_ev_per_fu=-5.2 spacegroup="Pbam (55)" dos_ef_per_ev_cell=25.8 dft_energy_ev_per_atom=-9.490 pbc="T T T"
B 1.8229 5.9006 0.4392
B 1.8229 2.3612 6.4999
W 0.0000 5.9411 3.6142
W 0.0000 1.3357 2.0306
B 1.8229 3.3100 10.8506
U 0.0000 0.4035 6.8378
B 1.8229 6.9665 10.4347
U 0.0000 8.8072 4.4520
U 0.0000 4.2019 1.1929
U 0.0000 5.0088 10.0969
B 1.8229 1.2953 5.2057
B 1.8229 1.8049 8.2161
B 1.8229 8.7527 10.5393
W 0.0000 3.2696 7.6755
B 1.8229 5.0633 4.8944
U 0.0000 7.6831 1.0431
B 1.8229 0.1377 8.8270
B 1.8229 6.4102 8.7186
B 1.8229 7.4058 3.0737
U 0.0000 1.5275 10.2466
B 1.8229 2.8005 2.5712
B 1.8229 3.2771 9.1756
B 1.8229 4.4676 3.1822
U 0.0000 6.1329 6.6880
B 1.8229 6.8495 4.7898
U 0.0000 3.0778 4.6017
B 1.8229 9.0730 2.4627
W 0.0000 7.8749 9.2591
B 1.8229 1.3282 3.5308
B 1.8229 4.7430 8.1076
B 1.8229 7.8824 7.7590
B 1.8229 2.2441 0.8551
B 1.8229 4.1474 6.3954
B 1.8229 0.4580 0.7505
B 1.8229 5.9336 2.1141
B 1.8229 7.9154 6.0840



[6]
4
Lattice="-1.1845 -2.8183 0.4705 4.2097 -1.8307 -0.3681 0.6428 0.5229 4.7499" Properties=species:S:1:pos:R:3 comment="InTc2Sb (GGA-PBEsol, relaxed)" spacegroup="Pmm2 (25)" dos_ef_per_ev_cell=4.2 dft_energy_ev_per_atom=-7.173 de_polymorph_mev_per_atom=100.7 pbc="T T T"
Tc 1.2352 -0.1360 2.2950
Sb 2.8122 -2.4885 2.3406
In 2.1929 -0.9537 -0.1918
Tc -0.4675 -1.4634 0.2243



[7]
4
Lattice="5.1932 0.0000 0.0000 0.0000 5.1932 0.0000 0.0000 0.0000 5.1932" Properties=species:S:1:pos:R:3 comment="Hg3Ir (GGA-PBEsol, relaxed)" ef_ev_per_fu=1.9 spacegroup="Pm-3m (221)" dos_ef_per_ev_cell=2.3 dft_energy_ev_per_atom=-2.398 de_polymorph_mev_per_atom=111.5 pbc="T T T"
Hg 0.0000 0.0000 2.5966
Ir 0.0000 0.0000 0.0000
Hg 0.0000 2.5966 0.0000
Hg 2.5966 0.0000 0.0000



[8]
4
Lattice="-3.0049 1.7583 -0.7781 -0.5534 -2.3869 -3.2565 -3.7617 -4.6405 4.0405" Properties=species:S:1:pos:R:3 comment="KTlZn2 (GGA-PBEsol, relaxed)" ef_ev_per_fu=0.8 spacegroup="Pmmm (47)" dos_ef_per_ev_cell=1.9 dft_energy_ev_per_atom=-1.542 de_polymorph_mev_per_atom=77.4 pbc="T T T"
K -1.7791 -0.3143 -2.0173
Tl -3.6600 -2.6345 0.0030
Zn -1.1821 -1.4582 1.2697
Zn -2.5797 -3.1823 2.7709



[9]
4
Lattice="3.4982 0.0000 0.0000 1.7491 3.0295 0.0000 1.7491 1.0098 9.9507" Properties=species:S:1:pos:R:3 comment="YAsBr2 (GGA-PBEsol, relaxed)" spacegroup="R-3m (166)" dos_ef_per_ev_cell=2.1 dft_energy_ev_per_atom=-4.035 de_polymorph_mev_per_atom=892.6 pbc="T T T"
Y 0.0000 0.0000 0.0000
Br 1.7491 1.0098 7.2657
As 3.4982 2.0197 4.9754
Br 5.2473 3.0295 2.6850



[10]
5
Lattice="4.4873 0.0000 0.0000 0.0000 4.4873 0.0000 0.0000 0.0000 4.6631" Properties=species:S:1:pos:R:3 comment="BiSbOF2 (GGA-PBEsol, relaxed)" spacegroup="P4/mmm (123)" dos_ef_per_ev_cell=3.4 dft_energy_ev_per_atom=-4.559 pbc="T T T"
O 0.0000 0.0000 2.3315
Bi 0.0000 0.0000 0.0000
F 2.2437 0.0000 0.0000
F 0.0000 2.2437 0.0000
Sb 2.2437 2.2437 2.3315



[11]
5
Lattice="-1.2968 2.1427 -4.4952 4.5210 -2.3241 -2.4121 -3.0346 -4.5573 -1.2968" Properties=species:S:1:pos:R:3 comment="Ca2LaHfSc (GGA-PBEsol, relaxed)" ef_ev_per_fu=3.7 spacegroup="P4/mmm (123)" dos_ef_per_ev_cell=6.0 dft_energy_ev_per_atom=-4.596 pbc="T T T"
Ca 2.2605 -1.1621 -1.2060
Sc 0.0000 0.0000 0.0000
Ca -1.5173 -2.2786 -0.6484
Hf -0.6484 1.0713 -2.2476
La 0.0948 -2.3694 -4.1020



[12]
10
Lattice="-1.1436 1.3332 3.0307 -4.6798 1.1615 -2.2769 -1.8715 -4.7923 1.4019" Properties=species:S:1:pos:R:3 comment="YB2C2 (GGA-PBEsol, relaxed)" ef_ev_per_fu=-2.5 spacegroup="P4/mbm (127)" dos_ef_per_ev_cell=1.7 dft_energy_ev_per_atom=-8.533 pbc="T T T"
B -1.8898 -0.9193 1.7156
C -2.5709 -2.3189 2.0743
Y 0.0000 0.0000 0.0000
Y -3.2757 -1.8154 -0.4375
C -5.1241 0.0212 0.0814
B -3.8034 0.7532 0.2578
C -2.4559 0.2810 0.9740
B -5.8052 -1.3784 0.4401
B -3.8916 -3.0508 1.8979
C -5.2390 -2.5787 1.1817



[13]
4
Lattice="3.2853 0.0000 0.0000 1.6426 2.8451 0.0000 1.6426 0.9484 11.1950" Properties=species:S:1:pos:R:3 comment="BaZr3 (GGA-PBEsol, relaxed)" ef_ev_per_fu=1.4 spacegroup="R-3m (166)" dos_ef_per_ev_cell=4.6 dft_energy_ev_per_atom=-6.993 de_polymorph_mev_per_atom=14.7 pbc="T T T"
Zr 4.9279 2.8451 8.0491
Ba 0.0000 0.0000 0.0000
Zr 3.2853 1.8968 5.5975
Zr 1.6426 0.9484 3.1459



[14]
16
Lattice="6.5220 0.0084 0.0000 -1.3843 6.3734 0.0000 0.0000 0.0000 10.2560" Properties=species:S:1:pos:R:3 comment="Th3In5 (GGA-PBEsol, relaxed)" ef_ev_per_fu=-3.2 spacegroup="Cmcm (63)" dos_ef_per_ev_cell=7.8 dft_energy_ev_per_atom=-5.306 pbc="T T T"
Th 0.9180 4.5199 0.0000
In 5.6770 3.6493 2.5640
In 1.0102 1.2548 9.7440
In 2.6276 3.2639 2.5640
In 2.3531 6.3252 2.5640
In 4.1276 5.1270 0.5120
In 4.1276 5.1270 4.6160
In 1.0102 1.2548 5.6400
Th 4.2197 1.8619 5.1280
Th 0.9180 4.5199 5.1280
In 2.7846 0.0566 7.6920
Th 4.4977 5.5868 7.6920
In 2.5101 3.1179 7.6920
Th 4.2197 1.8619 0.0000
In -0.5392 2.7325 7.6920
Th 0.6400 0.7950 2.5640



[15]
4
Lattice="4.5690 0.0000 0.0000 2.2845 3.9569 0.0000 2.2845 1.3190 3.7306" Properties=species:S:1:pos:R:3 comment="Li2CdAg (GGA-PBEsol, relaxed)" ef_ev_per_fu=-0.9 spacegroup="F-43m (216)" dos_ef_per_ev_cell=1.4 dft_energy_ev_per_atom=-2.342 pbc="T T T"
Li 6.8535 3.9569 2.7979
Li 0.0000 0.0000 0.0000
Cd 2.2845 1.3190 0.9326
Ag 4.5690 2.6379 1.8653



[16]
4
Lattice="4.6650 0.0000 0.0000 -2.3325 4.8217 -0.0039 0.0000 2.2600 4.0810" Properties=species:S:1:pos:R:3 comment="LaMgCl2 (GGA-PBEsol, relaxed)" spacegroup="I4/mmm (139)" dos_ef_per_ev_cell=3.5 dft_energy_ev_per_atom=-3.922 de_polymorph_mev_per_atom=64.4 pbc="T T T"
Cl 0.0000 2.9759 1.0183
La 2.3325 1.1300 2.0405
Mg 0.0000 0.0000 0.0000
Cl 2.3325 4.1059 3.0588



[17]
4
Lattice="-0.9490 2.7135 3.6266 -1.2553 -1.8860 4.0353 2.8895 0.1286 3.6126" Properties=species:S:1:pos:R:3 comment="BeTl2Os (GGA-PBEsol, relaxed)" ef_ev_per_fu=4.2 spacegroup="Fm-3m (225)" dos_ef_per_ev_cell=2.5 dft_energy_ev_per_atom=-4.315 de_polymorph_mev_per_atom=398.5 pbc="T T T"
Os 0.3426 0.4780 5.6372
Be 0.0000 0.0000 0.0000
Tl 0.5138 0.7170 8.4558
Tl 0.1713 0.2390 2.8186



[18]
8
Lattice="5.2061 0.0000 0.0000 2.6031 4.8015 0.0000 2.6031 0.0000 4.8015" Properties=species:S:1:pos:R:3 comment="ScBPt2 (GGA-PBEsol, relaxed)" ef_ev_per_fu=-2.6 spacegroup="I-42d (122)" dos_ef_per_ev_cell=3.3 dft_energy_ev_per_atom=-7.540 pbc="T T T"
Sc 0.0000 0.0000 0.0000
Sc 6.5076 2.4008 2.4008
Pt 4.5553 4.2944 1.8936
B 2.6031 0.0000 0.0000
Pt 8.4599 2.9079 4.2944
B 3.9046 2.4008 2.4008
Pt 4.5553 0.5072 2.9079
Pt 3.2538 1.8936 0.5072



[19]
12
Lattice="4.5030 0.0000 0.0000 0.0000 7.1700 0.0000 0.0000 0.0000 7.8810" Properties=species:S:1:pos:R:3 comment="NdAlPt (GGA-PBEsol, relaxed)" ef_ev_per_fu=-3.1 spacegroup="Pnma (62)" dos_ef_per_ev_cell=6.4 dft_energy_ev_per_atom=-6.451 pbc="T T T"
Al 3.3773 6.1259 0.5274
Nd 3.3773 6.9620 5.3786
Pt 1.1258 2.0247 4.8189
Al 3.3773 2.5409 3.4131
Pt 3.3773 5.1453 3.0621
Nd 1.1258 3.7931 1.4381
Nd 3.3773 3.3769 6.4430
Al 1.1258 1.0441 7.3536
Pt 3.3773 1.5603 0.8784
Al 1.1258 4.6291 4.4679
Pt 1.1258 5.6097 7.0027
Nd 1.1258 0.2081 2.5024



[20]
6
Lattice="-1.8321 1.7179 -1.5212 0.5936 -3.2180 -4.3490 -3.9441 -1.0074 3.6126" Properties=species:S:1:pos:R:3 comment="UB2Ru3 (GGA-PBEsol, relaxed)" ef_ev_per_fu=-2.7 spacegroup="P6/mmm (191)" dos_ef_per_ev_cell=3.8 dft_energy_ev_per_atom=-9.893 pbc="T T T"
Ru -2.5913 -1.2537 -1.1288
B -2.4315 -1.7442 0.9587
Ru -0.6193 -0.7500 -2.9351
U 0.0000 0.0000 0.0000
B -0.9189 -2.4811 -1.6951
Ru -2.8881 0.3553 1.0457



[21]
24
Lattice="-3.9686 -4.1157 -2.5020 4.0748 -2.7300 -5.2415 1.3813 -7.0824 3.0696" Properties=species:S:1:pos:R:3 comment="K2Cu3Ge5O14 (GGA-PBEsol, relaxed)" spacegroup="P-1 (2)" dos_ef_per_ev_cell=0.8 dft_energy_ev_per_atom=-6.165 pbc="T T T"
O -2.1446 -3.7615 -1.9947
Cu 0.0000 0.0000 0.0000
O -0.4994 -8.3366 0.0615
O 1.5244 -11.7091 -3.5345
Cu 1.8092 -7.6792 -5.7351
Ge 2.7060 -4.8422 -3.3287
O 0.2233 -9.8267 -2.0754
Ge 0.6585 -3.8092 -0.9528
O 1.6076 -6.2957 1.2778
O 1.2642 -4.1014 -2.5984
O 3.6321 -10.1666 -2.6791
O 3.3576 -6.1393 -2.2793
K -0.6809 -5.4539 -3.8684
O -0.0369 -2.2190 -1.1394
Ge -1.9843 -2.0578 -1.2510
Ge -1.2185 -9.0858 -1.3451
O -0.1201 -7.6324 -5.9517
O 1.9869 -5.5915 -4.7354
Ge 0.8290 -10.1188 -3.7211
K 2.1684 -8.4742 -0.8054
Cu -0.3217 -6.2489 1.0613
O -0.3289 -5.1883 -0.5294
O 1.8164 -8.7398 -4.1444
O -1.8700 -7.7888 -2.3945